The following is a DFT calculation (PBE) of a relaxed structure of ScBe2Co.

Computed properties:
- VASP energy (eV per atom) = -5.294
- relative energy among the computed polymorphs (meV/atom) = 131
- energy relative to the elements (kJ per mole of atoms) = -7

Cell and atoms, written as CIF:
```
data_ScBe2Co
_space_group_name_H-M_alt 'A m m 2'
_space_group_IT_number 38
_cell_length_a 3.476
_cell_length_b 2.845
_cell_length_c 9.784
_cell_angle_alpha 90.00
_cell_angle_beta 90.00
_cell_angle_gamma 90.00
loop_
_space_group_symop_operation_xyz
'x,y,z'
'-x,-y,z'
'-x,y,z'
'x,-y,z'
'x,y+1/2,z+1/2'
'-x,-y+1/2,z+1/2'
'-x,y+1/2,z+1/2'
'x,-y+1/2,z+1/2'
loop_
_atom_site_label
_atom_site_fract_x
_atom_site_fract_y
_atom_site_fract_z
Sc1 0.000 0.000 0.000
Be1 0.000 0.000 0.745
Be2 0.500 0.000 0.639
Co1 0.500 0.000 0.318
```